[1]
{
  "formula": "Zr2Si2Sb",
  "functional": "PBE",
  "state": "optimized geometry",
  "cell": [[-3.045, -1.890, 0.586], [0.267, -1.459, -3.315], [2.674, -7.347, 1.459]],
  "species": ["Zr", "Zr", "Sb", "Si", "Si"],
  "frac_coords": [[0.390, 0.390, 0.219], [0.610, 0.610, 0.781], [0.000, 0.000, 0.000], [0.750, 0.250, 0.500], [0.250, 0.750, 0.500]],
  "magnetic_moment_mub_per_cell": 0.0,
  "raw_formation_energy_ev_per_fu": -3.1,
  "space_group": "No. 139",
  "e_tot_ev_per_atom": -7.027,
  "polymorph_energy_mev_per_atom": 0.0,
  "n_ef_per_ev_fu": 2.29
}


[2]
{
  "formula": "AcIn2Ge2Pt7",
  "functional": "PBE",
  "state": "optimized geometry",
  "cell": [[4.081, -0.014, 0.080], [-0.009, 4.081, 0.080], [2.370, 2.367, 14.877]],
  "species": ["Pt", "Pt", "Pt", "Pt", "Pt", "Pt", "Pt", "Ge", "Ge", "In", "In", "Ac"],
  "frac_coords": [[0.807, 0.807, 0.578], [0.394, 0.894, 0.162], [0.500, 0.500, 0.000], [0.106, 0.606, 0.838], [0.193, 0.193, 0.422], [0.606, 0.106, 0.838], [0.894, 0.394, 0.162], [0.331, 0.331, 0.259], [0.669, 0.669, 0.741], [0.702, 0.702, 0.407], [0.298, 0.298, 0.593], [0.000, 0.000, 0.000]],
  "magnetic_moment_mub_per_cell": 0.0,
  "delta_e_f_ev_per_atom": -0.473,
  "space_group": "No. 12",
  "e_tot_ev_per_atom": -5.565,
  "n_ef_per_ev_fu": 3.31
}


[3]
{
  "formula": "Li2CaSbO",
  "functional": "PBE",
  "state": "optimized geometry",
  "cell": [[4.458, 0.000, 0.000], [0.000, 4.458, 0.000], [0.000, 0.000, 4.513]],
  "species": ["Li", "Li", "Ca", "Sb", "O"],
  "frac_coords": [[0.000, 0.500, 0.000], [0.500, 0.000, 0.000], [0.000, 0.000, 0.500], [0.500, 0.500, 0.500], [0.000, 0.000, 0.000]],
  "magnetic_moment_mub_per_cell": 0.0,
  "raw_formation_energy_ev_per_fu": -6.6,
  "space_group": "No. 123",
  "e_tot_ev_per_atom": -4.296,
  "polymorph_energy_mev_per_atom": 0.0,
  "n_ef_per_ev_fu": 3.03
}


[4]
{
  "formula": "Ba2NaH12Rh3",
  "functional": "PBE",
  "state": "optimized geometry",
  "cell": [[6.483, 0.008, 0.006], [3.209, 5.633, 0.006], [3.209, 1.868, 5.315]],
  "species": ["Rh", "Rh", "Rh", "H", "H", "H", "H", "H", "H", "H", "H", "H", "H", "H", "H", "Ba", "Ba", "Na"],
  "frac_coords": [[0.500, 0.000, 0.000], [0.000, 0.000, 0.500], [0.000, 0.500, 0.000], [0.591, 0.112, 0.112], [0.888, 0.888, 0.409], [0.699, 0.115, 0.699], [0.301, 0.885, 0.301], [0.112, 0.591, 0.112], [0.409, 0.888, 0.888], [0.112, 0.112, 0.591], [0.301, 0.301, 0.885], [0.115, 0.699, 0.699], [0.885, 0.301, 0.301], [0.888, 0.409, 0.888], [0.699, 0.699, 0.115], [0.386, 0.386, 0.386], [0.614, 0.614, 0.614], [0.000, 0.000, 0.000]],
  "magnetic_moment_mub_per_cell": 0.0,
  "space_group": "No. 166",
  "e_tot_ev_per_atom": -4.109,
  "n_ef_per_ev_fu": 3.26
}


[5]
{
  "formula": "SrAsRh",
  "functional": "PBE",
  "state": "optimized geometry",
  "cell": [[-1.841, 4.232, -0.537], [-0.889, 1.622, -4.261], [-4.393, 0.456, -1.442]],
  "species": ["Sr", "As", "Rh"],
  "frac_coords": [[0.000, 0.000, 0.000], [0.500, 0.500, 0.500], [0.750, 0.750, 0.750]],
  "magnetic_moment_mub_per_cell": 0.0,
  "delta_e_f_ev_per_atom": -0.331,
  "space_group": "No. 216",
  "e_tot_ev_per_atom": -4.892,
  "n_ef_per_ev_fu": 4.18
}


[6]
{
  "formula": "Rb2PmI4",
  "functional": "PBE",
  "state": "optimized geometry",
  "cell": [[8.773, 0.000, 0.000], [0.000, 8.773, 0.000], [-4.387, -4.387, 4.835]],
  "species": ["Rb", "Rb", "Pm", "I", "I", "I", "I"],
  "frac_coords": [[0.250, 0.750, 0.500], [0.750, 0.250, 0.500], [0.500, 0.500, 0.000], [0.249, 0.249, 0.995], [0.255, 0.751, 0.005], [0.751, 0.255, 0.005], [0.745, 0.745, 0.995]],
  "magnetic_moment_mub_per_cell": 1.0,
  "raw_formation_energy_ev_per_fu": -8.7,
  "space_group": "No. 121",
  "e_tot_ev_per_atom": -3.089,
  "polymorph_energy_mev_per_atom": 53.7,
  "n_ef_per_ev_fu": 0.05
}


[7]
{
  "formula": "Na3CeSc2S6",
  "functional": "PBE",
  "state": "optimized geometry",
  "cell": [[-0.296, -2.417, -6.293], [5.637, -0.731, 3.637], [-4.047, -4.745, 3.224]],
  "species": ["Sc", "Sc", "S", "S", "S", "S", "S", "S", "Na", "Na", "Na", "Ce"],
  "frac_coords": [[0.667, 0.333, 0.000], [0.333, 0.667, 0.000], [0.278, 0.278, 0.778], [0.722, 0.722, 0.222], [0.074, 0.426, 0.220], [0.426, 0.074, 0.220], [0.574, 0.926, 0.780], [0.926, 0.574, 0.780], [0.165, 0.835, 0.500], [0.500, 0.500, 0.500], [0.835, 0.165, 0.500], [0.000, 0.000, 0.000]],
  "magnetic_moment_mub_per_cell": 1.0,
  "raw_formation_energy_ev_per_fu": -20.7,
  "space_group": "No. 12",
  "e_tot_ev_per_atom": -5.666,
  "n_ef_per_ev_fu": 6.77
}


[8]
{
  "formula": "HoErMnPd",
  "functional": "PBE",
  "state": "optimized geometry",
  "cell": [[-4.792, 0.726, -0.991], [-2.428, -3.166, -2.925], [-3.410, -3.026, 1.922]],
  "species": ["Pd", "Mn", "Ho", "Er"],
  "frac_coords": [[0.000, 0.000, 0.000], [0.500, 0.500, 0.500], [0.250, 0.250, 0.250], [0.750, 0.750, 0.750]],
  "magnetic_moment_mub_per_cell": 3.3,
  "delta_e_f_ev_per_atom": -0.291,
  "space_group": "No. 216",
  "e_tot_ev_per_atom": -6.167,
  "n_ef_per_ev_fu": 4.79
}